# 1
First-principles (GGA-PBE) data for TiAg2Pd2 after structural relaxation, as listed in Alexandria.

a b c (Å): 6.5732 6.5732 4.0913
angles (deg): 90.00 90.00 90.00
Space group P4/mbm (No. 127)
One atom of each set of equivalent atoms:
Ti (0.0000, 0.0000, 0.0000) [2 per cell]
Ag (0.1591, 0.3409, 0.5000) [4 per cell]
Pd (0.1433, 0.6433, 0.0000) [4 per cell]

## Properties
* energy relative to the lowest polymorph listed for this composition: 0.000 eV per atom
* formation energy from the elements: -0.041 eV/atom


# 2
First-principles (GGA-PBE) data for Ti2AgPd3 after structural relaxation, as listed in Alexandria.

a b c (Å): 3.1336 3.1336 9.9046
angles (deg): 90.00 90.00 90.00
Space group P4/mmm (No. 123)
One atom of each set of equivalent atoms:
Ti (0.0000, 0.0000, 0.1688) [2 per cell]
Ag (0.0000, 0.0000, 0.5000) [1 per cell]
Pd (0.5000, 0.5000, 0.0000) [1 per cell]
Pd (0.5000, 0.5000, 0.3147) [2 per cell]

## Properties
* formation energy from the elements: -0.424 eV/atom


# 3
First-principles (GGA-PBE) data for TiAg2Pd after structural relaxation, as listed in Alexandria.

a b c (Å): 7.4514 7.4514 5.3712
angles (deg): 90.00 90.00 90.00
Space group I-42d (No. 122)
One atom of each set of equivalent atoms:
Ti (0.0000, 0.0000, 0.0000) [4 per cell]
Ag (0.2468, 0.2500, 0.6250) [8 per cell]
Pd (0.0000, 0.0000, 0.5000) [4 per cell]

## Properties
* energy relative to the lowest polymorph listed for this composition: 0.482 eV per atom
* formation energy from the elements: 0.316 eV/atom


# 4
First-principles (GGA-PBE) data for Ti5Ag2Pd12 after structural relaxation, as listed in Alexandria.

a b c (Å): 14.9280 5.4031 8.5578
angles (deg): 90.00 106.90 90.00
Space group C2/m (No. 12)
One atom of each set of equivalent atoms:
Ti (0.0000, 0.0000, 0.0000) [2 per cell]
Ti (0.1369, 0.5000, 0.3674) [4 per cell]
Ti (0.1935, 0.5000, 0.8738) [4 per cell]
Ag (0.0000, 0.2489, 0.5000) [4 per cell]
Pd (0.0157, 0.5000, 0.8467) [4 per cell]
Pd (0.1145, 0.0000, 0.8152) [4 per cell]
Pd (0.1533, 0.2518, 0.1125) [8 per cell]
Pd (0.1986, 0.2429, 0.6134) [8 per cell]

## Properties
* formation energy from the elements: -0.275 eV/atom


# 5
First-principles (GGA-PBE) data for TiAgPd2 after structural relaxation, as listed in Alexandria.

a b c (Å): 6.3569 6.3569 6.3569
angles (deg): 90.00 90.00 90.00
Space group Fm-3m (No. 225)
One atom of each set of equivalent atoms:
Ti (0.0000, 0.0000, 0.0000) [4 per cell]
Ag (0.0000, 0.0000, 0.5000) [4 per cell]
Pd (0.2500, 0.2500, 0.2500) [8 per cell]

## Properties
* energy relative to the lowest polymorph listed for this composition: 0.053 eV per atom
* formation energy from the elements: -0.334 eV/atom


# 6
First-principles (GGA-PBE) data for Ti2AgPd after structural relaxation, as listed in Alexandria.

a b c (Å): 6.4580 6.4580 6.4580
angles (deg): 90.00 90.00 90.00
Space group Fm-3m (No. 225)
One atom of each set of equivalent atoms:
Ti (0.2500, 0.2500, 0.2500) [8 per cell]
Ag (0.0000, 0.0000, 0.0000) [4 per cell]
Pd (0.0000, 0.0000, 0.5000) [4 per cell]

## Properties
* energy relative to the lowest polymorph listed for this composition: 0.077 eV per atom
* formation energy from the elements: -0.128 eV/atom


# 7
First-principles (GGA-PBE) data for Ti2AgPd after structural relaxation, as listed in Alexandria.

a b c (Å): 7.2440 7.2440 5.3969
angles (deg): 90.00 90.00 90.00
Space group I-42d (No. 122)
One atom of each set of equivalent atoms:
Ti (0.2280, 0.2500, 0.1250) [8 per cell]
Ag (0.0000, 0.0000, 0.5000) [4 per cell]
Pd (0.0000, 0.0000, 0.0000) [4 per cell]

## Properties
* energy relative to the lowest polymorph listed for this composition: 0.331 eV per atom
* formation energy from the elements: 0.126 eV/atom


# 8
First-principles (GGA-PBE) data for Ti4AgPd after structural relaxation, as listed in Alexandria.

a b c (Å): 2.9462 2.9462 11.5974
angles (deg): 90.00 90.00 90.00
Space group P4/mmm (No. 123)
One atom of each set of equivalent atoms:
Ti (0.0000, 0.0000, 0.1606) [2 per cell]
Ti (0.5000, 0.5000, 0.3219) [2 per cell]
Ag (0.0000, 0.0000, 0.5000) [1 per cell]
Pd (0.5000, 0.5000, 0.0000) [1 per cell]

## Properties
* formation energy from the elements: -0.244 eV/atom